Computed, not measured: a relaxed structure of NbSiGe at the GGA-PBE level of DFT.

Results
Relative energy among the computed polymorphs: 1.2 kJ/mol of atoms
Calculated total energy: -6.332 eV/atom
Total magnetic moment: 0.054 μB per atom
Space-group type: F-43m
Calculated volume: 18.5 A^3/atom

```
NbSiGe
1.0
-0.132 -4.269 0.303
-3.570 -2.112 -1.062
-0.095 -2.396 -3.548
Si Nb Ge
1 1 1
Direct
0.000 0.000 0.000
0.750 0.750 0.750
0.250 0.250 0.250
```



Computed, not measured: a relaxed structure of Dy3Er4Ir2Se2 at the GGA-PBE level of DFT.

Results
Calculated total energy: -6.225 eV/atom
Total magnetic moment: 0.000 μB per atom
Space-group type: Imm2
Calculated volume: 24.5 A^3/atom

```
Dy3Er4Ir2Se2
1.0
-1.942 7.578 4.578
1.942 -7.578 4.578
1.942 7.578 -4.578
Se Er Dy Ir
2 4 3 2
Direct
0.920 0.920 0.000
0.518 0.018 0.500
0.235 0.053 0.182
0.870 0.053 0.818
0.641 0.265 0.376
0.889 0.265 0.624
0.280 0.421 0.858
0.563 0.421 0.142
0.177 0.677 0.500
0.010 0.750 0.259
0.491 0.750 0.741
```



Computed, not measured: a relaxed structure of Fe3CuSn5 at the GGA-PBE level of DFT.

Results
Calculated total energy: -5.228 eV/atom
Total magnetic moment: 0.572 μB per atom
Space-group type: P6/mmm
Calculated volume: 19.9 A^3/atom

```
Fe3CuSn5
1.0
-1.156 3.390 -3.750
-3.702 -1.650 3.235
1.578 5.815 4.771
Fe Sn Cu
3 5 1
Direct
0.500 0.500 0.500
0.500 0.000 0.500
0.000 0.500 0.500
0.333 0.667 0.201
0.000 0.000 0.500
0.667 0.333 0.201
0.333 0.667 0.799
0.667 0.333 0.799
0.000 0.000 0.000
```



Computed, not measured: a relaxed structure of IrC8 at the GGA-PBE level of DFT.

Results
Relative energy among the computed polymorphs: 0.0 kJ/mol of atoms
Calculated total energy: -8.678 eV/atom
Total magnetic moment: 0.000 μB per atom
Space-group type: Fddd
Calculated volume: 9.4 A^3/atom

```
IrC8
1.0
4.794 0.077 7.595
0.375 -2.234 7.931
4.233 -2.652 -0.169
C Ir
16 2
Direct
0.291 0.957 0.543
0.293 0.959 0.042
0.537 0.205 0.796
0.959 0.293 0.707
0.788 0.454 0.045
0.713 0.045 0.454
0.208 0.543 0.957
0.042 0.707 0.293
0.796 0.462 0.537
0.205 0.537 0.462
0.454 0.788 0.713
0.045 0.713 0.788
0.707 0.042 0.959
0.543 0.208 0.291
0.462 0.796 0.205
0.957 0.291 0.208
0.000 0.000 0.000
0.250 0.250 0.250
```



Computed, not measured: a relaxed structure of CsTlCoSe3 at the GGA-PBE level of DFT.

Results
Calculated total energy: -3.889 eV/atom
Total magnetic moment: 0.000 μB per atom
Space-group type: Cmcm
Calculated volume: 30.3 A^3/atom

```
CsTlCoSe3
1.0
2.059 -7.477 0.000
2.059 7.477 0.000
0.000 0.000 11.816
Tl Cs Se Co
2 2 6 2
Direct
0.000 0.000 0.500
0.000 0.000 0.000
0.291 0.709 0.750
0.709 0.291 0.250
0.367 0.633 0.428
0.007 0.993 0.750
0.993 0.007 0.250
0.367 0.633 0.072
0.633 0.367 0.572
0.633 0.367 0.928
0.577 0.423 0.750
0.423 0.577 0.250
```



Computed, not measured: a relaxed structure of Cu2Ag3 at the GGA-PBE level of DFT.

Results
Relative energy among the computed polymorphs: 5.2 kJ/mol of atoms
Calculated total energy: -3.095 eV/atom
Formation energy from the elements: 0.4 eV per formula unit
Space-group type: Cm
Calculated volume: 15.5 A^3/atom

```
Cu2Ag3
1.0
4.661 -1.424 0.000
4.661 1.424 0.000
-2.036 0.000 11.706
Ag Cu
6 4
Direct
0.308 0.308 0.084
0.601 0.601 0.192
0.395 0.395 0.815
0.793 0.793 0.612
0.206 0.206 0.395
0.499 0.499 0.503
0.903 0.903 0.294
0.015 0.015 0.997
0.685 0.685 0.895
0.095 0.095 0.713
```



Computed, not measured: a relaxed structure of SnIrS4 at the GGA-PBE level of DFT.

Results
Calculated total energy: -5.217 eV/atom
Total magnetic moment: 0.050 μB per atom
Space-group type: P2/m
Calculated volume: 25.3 A^3/atom

```
SnIrS4
1.0
6.346 0.000 0.000
0.000 3.611 0.000
-2.212 0.000 6.613
S Sn Ir
4 1 1
Direct
0.372 0.500 0.209
0.919 0.000 0.194
0.081 0.000 0.806
0.628 0.500 0.791
0.500 0.000 0.000
0.000 0.500 0.000
```



Computed, not measured: a relaxed structure of Zn2Sn2P3N at the GGA-PBE level of DFT.

Results
Calculated total energy: -4.455 eV/atom
Space-group type: C2
Calculated volume: 20.4 A^3/atom

```
Zn2Sn2P3N
1.0
-0.625 5.433 -3.807
-2.754 5.943 1.228
4.977 -0.634 2.168
Sn P N Zn
2 3 1 2
Direct
0.463 0.774 0.392
0.226 0.537 0.608
0.638 0.362 0.000
0.373 0.128 0.222
0.872 0.627 0.778
0.122 0.878 0.500
0.014 0.208 0.827
0.792 0.986 0.173
```



Copy entry 6 word for word.
Computed, not measured: a relaxed structure of Cu2Ag3 at the GGA-PBE level of DFT.

Results
Relative energy among the computed polymorphs: 5.2 kJ/mol of atoms
Calculated total energy: -3.095 eV/atom
Formation energy from the elements: 0.4 eV per formula unit
Space-group type: Cm
Calculated volume: 15.5 A^3/atom

```
Cu2Ag3
1.0
4.661 -1.424 0.000
4.661 1.424 0.000
-2.036 0.000 11.706
Ag Cu
6 4
Direct
0.308 0.308 0.084
0.601 0.601 0.192
0.395 0.395 0.815
0.793 0.793 0.612
0.206 0.206 0.395
0.499 0.499 0.503
0.903 0.903 0.294
0.015 0.015 0.997
0.685 0.685 0.895
0.095 0.095 0.713
```



What is the calculated volume in the fifth record? 30.3 A^3/atom